# Pr4AlZn2Hg PBE-GGA relaxed
data_Pr4AlZn2Hg
_chemical_formula_sum 'Pr12 Al3 Zn6 Hg3'
_space_group_name_H-M_alt 'R -3 m'
_space_group_IT_number 166
_space_group_name_Hall '-R 3 2"'
_cell_length_a 5.3158
_cell_length_b 5.3158
_cell_length_c 26.2937
_cell_angle_alpha 90.00
_cell_angle_beta 90.00
_cell_angle_gamma 120.00
loop_
_atom_site_label
_atom_site_fract_x
_atom_site_fract_y
_atom_site_fract_z
Pr1 0.0000 0.0000 0.1225
Pr2 0.0000 0.0000 0.3729
Al1 0.0000 0.0000 0.0000
Zn1 0.0000 0.0000 0.2515
Hg1 0.0000 0.0000 0.5000
# - Total magnetic moment: 0.00 μB/cell
# - Volume: 26.81 Å³ per atom
# - Energy of formation: -33 kJ per mole of atoms